The following is a PBE-GGA calculation of an optimized crystal structure of CePuF, from Alexandria via LeMat-Bulk.

total magnetization = 88.91 Bohr magnetons per cell
crystal system = orthorhombic
final energy = -415.09 eV/cell
formation energy (no corrections) = -1.269 eV/atom

Lattice parameters (Å, degrees): 12.1724 12.5933 6.8117 90.00 90.00 90.00
Last column: nearest neighbours and their distance in Å.
Space group Fdd2 (No. 43)
Symmetry-distinct sites (fractional):
Ce 0.0300 0.1440 0.0000  2 F 2.42-2.49, 2 Pu 2.63-2.66
Pu 0.0755 0.1080 0.3759  1 F 2.30
F 0.0276 0.3980 0.1581  1 Pu 2.30, 2 Ce 2.42-2.49

***

The following is a PBE-GGA calculation of an optimized crystal structure of Ce2PuF8, from Alexandria via LeMat-Bulk.

total magnetization = 16.00 Bohr magnetons per cell
crystal system = monoclinic
energy relative to the lowest polymorph listed for this composition = 1.15 eV/f.u.
final energy = -162.75 eV/cell
formation energy (no corrections) = -3.655 eV/atom

Lattice parameters (Å, degrees): 12.7669 3.9780 6.7198 90.00 107.18 90.00
Last column: nearest neighbours and their distance in Å.
Space group C2/m (No. 12)
Symmetry-distinct sites (fractional):
Ce 0.1733 0.0000 0.1932  7 F 2.40-2.64
Pu 0.0000 0.0000 0.5000  8 F 2.31-2.51
F 0.0388 0.0000 0.8575  1 Pu 2.31, 1 Ce 2.40, 1 F 2.40
F 0.0817 0.5000 0.3718  2 Pu 2.51, 5 F 2.70-2.73, 2 Ce 2.76
F 0.1832 0.5000 0.9906  3 Ce 2.43-2.49, 5 F 2.60-2.68
F 0.2034 0.0000 0.6086  1 Pu 2.48, 3 Ce 2.64-2.70, 4 F 2.65-2.73

***

The following is a PBE-GGA calculation of an optimized crystal structure of CePuF6, from Alexandria via LeMat-Bulk.

total magnetization = 12.00 Bohr magnetons per cell
crystal system = tetragonal
final energy = -122.96 eV/cell
formation energy (no corrections) = -3.748 eV/atom

Lattice parameters (Å, degrees): 5.5667 5.5667 8.3996 90.00 90.00 90.00
Last column: nearest neighbours and their distance in Å.
Space group P4_2/m (No. 84)
Symmetry-distinct sites (fractional):
Ce 0.0000 0.0000 0.0000  6 F 2.27-2.45
Pu 0.5000 0.5000 0.2500  8 F 2.31-2.57
F 0.1988 0.2383 0.1759  1 Ce 2.27, 1 Pu 2.31
F 0.2994 0.3229 0.5000  1 Ce 2.45, 2 Pu 2.57

***

The following is a PBE-GGA calculation of an optimized crystal structure of Ce2PuF8, from Alexandria via LeMat-Bulk.

total magnetization = 16.00 Bohr magnetons per cell
crystal system = monoclinic
energy relative to the lowest polymorph listed for this composition = 0.00 eV/f.u.
final energy = -165.06 eV/cell
formation energy (no corrections) = -3.760 eV/atom

Lattice parameters (Å, degrees): 14.7655 3.9889 5.8303 90.00 110.41 90.00
Last column: nearest neighbours and their distance in Å.
Space group C2/m (No. 12)
Symmetry-distinct sites (fractional):
Ce 0.1759 0.0000 0.1808  9 F 2.39-2.59
Pu 0.0000 0.5000 0.5000  8 F 2.46-2.62
F 0.0316 0.0000 0.2933  1 Ce 2.44, 2 Pu 2.46
F 0.0980 0.5000 0.9417  1 Pu 2.48, 2 Ce 2.48, 1 F 2.66
F 0.1709 0.5000 0.4594  3 Ce 2.49-2.59, 1 Pu 2.62, 5 F 2.72-2.78
F 0.2129 0.0000 0.8137  3 Ce 2.39-2.58, 1 F 2.66

***

The following is a PBE-GGA calculation of an optimized crystal structure of Ce2PuF11, from Alexandria via LeMat-Bulk.

total magnetization = 20.25 Bohr magnetons per cell
crystal system = orthorhombic
final energy = -396.21 eV/cell
formation energy (no corrections) = -3.733 eV/atom

Lattice parameters (Å, degrees): 8.3960 10.5510 11.1905 90.00 90.00 90.00
Last column: nearest neighbours and their distance in Å.
Space group Ibam (No. 72)
Symmetry-distinct sites (fractional):
Ce 0.1442 0.1820 0.0000  7 F 2.20-2.30
Pu 0.0000 0.5000 0.2500  8 F 2.32-2.33
F 0.0000 0.0000 0.0000  2 Ce 2.27, 2 F 2.52
F 0.0950 0.3280 0.1430  1 Ce 2.26, 1 Pu 2.32
F 0.1264 0.2165 0.5000  2 Ce 2.20-2.30
F 0.2147 0.4277 0.3624  1 Ce 2.26, 1 Pu 2.33

***

The following is a PBE-GGA calculation of an optimized crystal structure of CePuF4, from Alexandria via LeMat-Bulk.

total magnetization = 31.96 Bohr magnetons per cell
crystal system = tetragonal
final energy = -186.67 eV/cell
formation energy (no corrections) = -3.153 eV/atom

Lattice parameters (Å, degrees): 8.5607 8.5607 6.6230 90.00 90.00 90.00
Last column: nearest neighbours and their distance in Å.
Space group I4_1md (No. 109)
Symmetry-distinct sites (fractional):
Ce 0.0000 0.0000 0.0000  6 F 2.38-2.50
Pu 0.0000 0.0000 0.5003  6 F 2.41-2.55
F 0.0000 0.2785 0.0047  2 Ce 2.38-2.50, 1 Pu 2.54
F 0.0000 0.2812 0.4887  2 Pu 2.41-2.55, 1 Ce 2.45

***

The following is a PBE-GGA calculation of an optimized crystal structure of RbCeF6, from Alexandria via LeMat-Bulk.

total magnetization = 4.31 Bohr magnetons per cell
crystal system = orthorhombic
final energy = -169.23 eV/cell
formation energy (no corrections) = -3.022 eV/atom

Lattice parameters (Å, degrees): 8.7486 11.9930 5.9087 90.00 90.00 90.00
Last column: nearest neighbours and their distance in Å.
Space group Cmme (No. 67)
Symmetry-distinct sites (fractional):
Rb 0.0000 0.2500 0.0349  10 F 2.90-3.22
Ce 0.2500 0.0000 0.5000  4 F 2.13
F 0.0000 0.0640 0.3668  1 F 2.20, 2 Ce 2.45
F 0.2086 0.1246 0.7502  1 Ce 2.13

***

The following is a PBE-GGA calculation of an optimized crystal structure of RbCe2F8, from Alexandria via LeMat-Bulk.

total magnetization = 2.08 Bohr magnetons per cell
crystal system = monoclinic
final energy = -138.47 eV/cell
formation energy (no corrections) = -3.766 eV/atom

Lattice parameters (Å, degrees): 7.2126 11.1583 4.4936 90.00 97.52 90.00
Last column: nearest neighbours and their distance in Å.
Space group C2/m (No. 12)
Symmetry-distinct sites (fractional):
Rb 0.0000 0.0000 0.0000  12 F 2.97-3.16
Ce 0.0000 0.3247 0.5000  8 F 2.31-2.40
F 0.0000 0.2714 0.0000  2 Ce 2.32
F 0.0972 0.5000 0.7588  2 Ce 2.34, 1 F 2.55
F 0.1893 0.1469 0.5593  2 Ce 2.31-2.40, 1 F 2.54

***

The following is a PBE-GGA calculation of an optimized crystal structure of RbCeF5, from Alexandria via LeMat-Bulk.

total magnetization = 0.25 Bohr magnetons per cell
crystal system = orthorhombic
final energy = -81.79 eV/cell
formation energy (no corrections) = -3.520 eV/atom

Lattice parameters (Å, degrees): 4.5874 7.8563 9.7503 90.00 90.00 90.00
Last column: nearest neighbours and their distance in Å.
Space group Immm (No. 71)
Symmetry-distinct sites (fractional):
Rb 0.0000 0.0000 0.0000  6 F 2.76-2.91
Ce 0.0000 0.0000 0.5000  6 F 2.11-2.29
F 0.0000 0.0000 0.2834  1 Ce 2.11
F 0.0000 0.2727 0.5000  1 Ce 2.14
F 0.0000 0.5000 0.0000  2 Ce 2.29

***

The following is a PBE-GGA calculation of an optimized crystal structure of Rb3CeF8, from Alexandria via LeMat-Bulk.

total magnetization = 2.25 Bohr magnetons per cell
crystal system = tetragonal
energy relative to the lowest polymorph listed for this composition = 0.00 eV/f.u.
final energy = -119.39 eV/cell
formation energy (no corrections) = -2.991 eV/atom

Lattice parameters (Å, degrees): 6.2989 6.2989 12.4896 90.00 90.00 90.00
Last column: nearest neighbours and their distance in Å.
Space group I4/mmm (No. 139)
Symmetry-distinct sites (fractional):
Rb 0.0000 0.0000 0.0000  8 F 2.91
Rb 0.0000 0.5000 0.2500  8 F 2.88
Ce 0.0000 0.0000 0.5000  8 F 2.29
F 0.2096 0.2096 0.3938  1 Ce 2.29

***

The following is a PBE-GGA calculation of an optimized crystal structure of Rb4CeF7, from Alexandria via LeMat-Bulk.

total magnetization = 2.00 Bohr magnetons per cell
crystal system = monoclinic
final energy = -119.85 eV/cell
formation energy (no corrections) = -3.085 eV/atom

Lattice parameters (Å, degrees): 14.4089 4.7790 10.1643 90.00 126.77 90.00
Last column: nearest neighbours and their distance in Å.
Space group C2/m (No. 12)
Symmetry-distinct sites (fractional):
Rb 0.0819 0.0000 0.2583  3 F 2.75-2.88
Rb 0.2480 0.5000 0.1253  4 F 2.72-3.01
Ce 0.0000 0.5000 0.5000  6 F 2.26-2.39
F 0.0000 0.0000 0.5000  2 Ce 2.39
F 0.0836 0.5000 0.7730  1 Ce 2.27
F 0.1350 0.0000 0.0397  5 Rb 2.72-3.01
F 0.1689 0.5000 0.5299  1 Ce 2.26

***

The following is a PBE-GGA calculation of an optimized crystal structure of RbCeF6, from Alexandria via LeMat-Bulk.

total magnetization = 3.11 Bohr magnetons per cell
crystal system = trigonal
final energy = -124.74 eV/cell
formation energy (no corrections) = -2.931 eV/atom

Lattice parameters (Å, degrees): 5.6589 5.6589 17.6450 90.00 90.00 120.00
Last column: nearest neighbours and their distance in Å.
Space group R-3m (No. 166, hexagonal axes)
Symmetry-distinct sites (fractional):
Rb 0.0000 0.0000 0.0000  12 F 3.25
Ce 0.0000 0.0000 0.5000  6 F 2.13
F 0.0040 0.5020 0.9098  1 Ce 2.13

***

The following is a PBE-GGA calculation of an optimized crystal structure of Rb4Ce6F19, from Alexandria via LeMat-Bulk.

total magnetization = 17.96 Bohr magnetons per cell
crystal system = cubic
final energy = -348.56 eV/cell
formation energy (no corrections) = -3.423 eV/atom

Lattice parameters (Å, degrees): 10.9659 10.9659 10.9659 90.00 90.00 90.00
Last column: nearest neighbours and their distance in Å.
Space group I23 (No. 197)
Symmetry-distinct sites (fractional):
Rb 0.1386 0.1386 0.1386  4 F 2.63-2.87
Ce 0.0000 0.1672 0.5000  6 F 2.37-2.40
F 0.0000 0.0000 0.0000  4 Rb 2.63
F 0.0000 0.0000 0.3582  2 Ce 2.40
F 0.0163 0.2853 0.3175  2 Ce 2.37-2.39

***

The following is a PBE-GGA calculation of an optimized crystal structure of Rb3Ce2F9, from Alexandria via LeMat-Bulk.

total magnetization = 12.00 Bohr magnetons per cell
crystal system = trigonal
final energy = -474.38 eV/cell
formation energy (no corrections) = -3.389 eV/atom

Lattice parameters (Å, degrees): 11.6884 11.6884 14.6199 90.00 90.00 120.00
Last column: nearest neighbours and their distance in Å.
Space group R-3c (No. 167, hexagonal axes)
Symmetry-distinct sites (fractional):
Rb 0.0000 0.3198 0.2500  10 F 3.04-3.40
Ce 0.0000 0.0000 0.1289  6 F 2.23-2.40
F 0.0000 0.1381 0.7500  2 Ce 2.40
F 0.0313 0.1930 0.4227  1 Ce 2.23

***

The following is a PBE-GGA calculation of an optimized crystal structure of RbCeF2, from Alexandria via LeMat-Bulk.

total magnetization = 6.35 Bohr magnetons per cell
crystal system = trigonal
final energy = -60.99 eV/cell
formation energy (no corrections) = -2.422 eV/atom

Lattice parameters (Å, degrees): 4.1390 4.1390 22.7919 90.00 90.00 120.00
Last column: nearest neighbours and their distance in Å.
Space group R-3m (No. 166, hexagonal axes)
Symmetry-distinct sites (fractional):
Rb 0.0000 0.0000 0.0000  2 F 3.18
Ce 0.0000 0.0000 0.5000  6 F 2.47
F 0.0000 0.0000 0.1394  3 Ce 2.47, 3 F 2.69

***

The following is a PBE-GGA calculation of an optimized crystal structure of Rb3CeF8, from Alexandria via LeMat-Bulk.

total magnetization = 1.12 Bohr magnetons per cell
crystal system = cubic
energy relative to the lowest polymorph listed for this composition = 0.06 eV/f.u.
final energy = -59.64 eV/cell
formation energy (no corrections) = -2.986 eV/atom

Lattice parameters (Å, degrees): 6.2709 6.2709 6.2709 90.00 90.00 90.00
Last column: nearest neighbours and their distance in Å.
Space group Pm-3m (No. 221)
Symmetry-distinct sites (fractional):
Rb 0.0000 0.0000 0.5000  8 F 2.88
Ce 0.5000 0.5000 0.5000  8 F 2.29
F 0.2889 0.2889 0.2889  1 Ce 2.29

***

The following is a PBE-GGA calculation of an optimized crystal structure of RbSrCeF6, from Alexandria via LeMat-Bulk.

total magnetization = 2.00 Bohr magnetons per cell
crystal system = trigonal
final energy = -105.25 eV/cell
formation energy (no corrections) = -3.646 eV/atom

Lattice parameters (Å, degrees): 6.6039 6.6039 10.5504 90.00 90.00 120.00
Last column: nearest neighbours and their distance in Å.
Space group P-31c (No. 163)
Symmetry-distinct sites (fractional):
Rb 0.0000 0.0000 0.0000  6 F 2.87
Sr 0.3333 0.6667 0.2500  6 F 2.45
Ce 0.3333 0.6667 0.7500  6 F 2.32
F 0.0143 0.3778 0.6416  1 Ce 2.32, 1 Sr 2.45

***

The following is a PBE-GGA calculation of an optimized crystal structure of RbCeTl2F6, from Alexandria via LeMat-Bulk.

total magnetization = 1.76 Bohr magnetons per cell
crystal system = monoclinic
final energy = -102.71 eV/cell
formation energy (no corrections) = -2.849 eV/atom

Lattice parameters (Å, degrees): 11.7093 6.8535 6.9510 90.00 124.75 90.00
Last column: nearest neighbours and their distance in Å.
Space group C2/m (No. 12)
Symmetry-distinct sites (fractional):
Rb 0.0000 0.0000 0.0000  6 F 2.82-2.86
Ce 0.0000 0.5000 0.5000  6 F 2.27-2.30
Tl 0.2478 0.0000 0.7186  5 F 2.79-2.88
F 0.0794 0.2677 0.3635  1 Ce 2.30
F 0.2145 0.5000 0.8429  1 Ce 2.27

***

The following is a PBE-GGA calculation of an optimized crystal structure of RbCeTl2F8, from Alexandria via LeMat-Bulk.

total magnetization = 0.00 Bohr magnetons per cell
crystal system = monoclinic
final energy = -59.52 eV/cell
formation energy (no corrections) = -2.743 eV/atom

Lattice parameters (Å, degrees): 4.1680 8.5828 6.2645 90.00 90.07 90.00
Last column: nearest neighbours and their distance in Å.
Space group P2/m (No. 10)
Symmetry-distinct sites (fractional):
Rb 0.0000 0.0000 0.0000  8 F 2.76-2.93
Ce 0.0000 0.5000 0.0000  8 F 2.23-2.42
Tl 0.5000 0.2361 0.5000  2 F 2.42
F 0.9999 0.2990 0.2258  1 Ce 2.23
F 0.4992 0.0000 0.7112  2 Tl 2.42, 1 F 2.65
F 0.4999 0.5000 0.1966  2 Ce 2.42, 1 F 2.46